Density functional theory data (GGA-PBEsol) for a relaxed AlHg2PPb crystal.

Properties
magnetization	0.000	μB per atom
E_tot	-13.25	eV per cell
density of states at the Fermi level	3.2	states/eV/f.u.
energy of formation	0.352	eV/atom

Lattice parameters (Å, degrees): 5.037 5.037 4.832 90.00 90.00 90.00
Positions (direct):
Al1 0.000 0.000 0.000
Hg1 0.000 0.500 0.500
Hg2 0.500 0.000 0.500
P1 0.000 0.000 0.500
Pb1 0.500 0.500 0.000